Record 1
Density functional theory data (PBE) for ScAgPt2 after structural relaxation.

- Space group: R-3m, No. 166
- ΔE_f: -452 meV per atom

a b c (Å): 9.327 9.327 9.327
angles (deg): 18.20 18.20 18.20
Fractional coordinates of all 4 atoms:
Pt: 0.995 0.995 0.995
Pt: 0.505 0.505 0.505
Ag: 0.750 0.750 0.750
Sc: 0.250 0.250 0.250


Record 2
Density functional theory data (PBE) for PmH11Pd5 after structural relaxation.

- Space group: C2/m, No. 12
- Calculated total energy: -69.45 eV/cell

a b c (Å): 4.992 6.180 6.180
angles (deg): 80.81 116.03 116.03
Fractional coordinates of all 17 atoms:
H: 0.109 0.421 0.162
H: 0.709 0.614 0.174
H: 0.709 0.174 0.614
H: 0.613 0.271 0.271
H: 0.891 0.579 0.838
H: 0.291 0.386 0.826
H: 0.291 0.826 0.386
H: 0.500 0.000 0.000
H: 0.387 0.729 0.729
H: 0.891 0.838 0.579
H: 0.109 0.162 0.421
Pd: 0.684 0.375 0.004
Pd: 0.000 0.500 0.500
Pd: 0.316 0.996 0.625
Pd: 0.316 0.625 0.996
Pd: 0.684 0.004 0.375
Pm: 0.000 0.000 0.000